InAsBr2: relaxed, PBEsol.

Cell lengths 5.140, 5.140, 5.140 Å; angles 60.00, 60.00, 60.00 degrees
Sites, in units of the cell vectors:
As  0.000  0.000  0.000
Br  0.750  0.750  0.750
Br  0.250  0.250  0.250
In  0.500  0.500  0.500

## Properties
Formation energy without anion corrections: 17 kJ/mol of atoms
Symmetry: Fm-3m (225)
Energy above the lowest structure with this stoichiometry: 451 meV/atom
Magnetization: 0.10 μB/f.u.
E_tot: -11.10 eV/cell

---

CsNdNb2O7: relaxed, PBEsol.

Cell lengths 5.436, 5.486, 11.256 Å; angles 90.00, 90.00, 90.00 degrees
Sites, in units of the cell vectors:
Cs  0.738  0.756  0.500
Cs  0.262  0.256  0.500
Nd  0.248  0.280  0.000
Nd  0.752  0.780  0.000
Nb  0.749  0.240  0.202
Nb  0.749  0.240  0.798
Nb  0.251  0.740  0.798
Nb  0.251  0.740  0.202
O  0.035  0.012  0.858
O  0.672  0.210  0.000
O  0.328  0.710  0.000
O  0.801  0.250  0.641
O  0.561  0.919  0.808
O  0.199  0.750  0.641
O  0.965  0.512  0.858
O  0.439  0.419  0.808
O  0.035  0.012  0.142
O  0.439  0.419  0.192
O  0.801  0.250  0.359
O  0.965  0.512  0.142
O  0.561  0.919  0.192
O  0.199  0.750  0.359

## Properties
Formation energy without anion corrections: -266 kJ/mol of atoms
Symmetry: Pmc2_1 (26)
Magnetization: 0.00 μB/f.u.
E_tot: -189.69 eV/cell

---

NiPPt: relaxed, PBEsol.

Cell lengths 3.855, 3.855, 3.855 Å; angles 60.00, 60.00, 60.00 degrees
Sites, in units of the cell vectors:
Ni  0.500  0.500  0.500
Pt  0.000  0.000  0.000
P  0.250  0.250  0.250

## Properties
Energy relative to the elements: -418 meV/atom
Symmetry: F-43m (216)
Magnetization: 0.00 μB/f.u.
E_tot: -20.17 eV/cell

---

What is the formula in the first record? InAsBr2

---

Please write out number 1 again, unchanged.
InAsBr2: relaxed, PBEsol.

Cell lengths 5.140, 5.140, 5.140 Å; angles 60.00, 60.00, 60.00 degrees
Sites, in units of the cell vectors:
As  0.000  0.000  0.000
Br  0.750  0.750  0.750
Br  0.250  0.250  0.250
In  0.500  0.500  0.500

## Properties
Formation energy without anion corrections: 17 kJ/mol of atoms
Symmetry: Fm-3m (225)
Energy above the lowest structure with this stoichiometry: 451 meV/atom
Magnetization: 0.10 μB/f.u.
E_tot: -11.10 eV/cell

---

E_tot of number 1 (InAsBr2)? -11.10 eV/cell